DFT (PBE) results for a relaxed structure of Rb3NaAu2.

The structure in POSCAR format:
```
Rb3NaAu2
1.0
-2.4982 -0.9557 -4.3202
-1.5667 -10.0089 0.1321
-11.4051 -2.6931 4.2029
Rb Na Au
6 2 4
direct
0.0490 0.1322 0.7697
0.9510 0.8678 0.2303
0.6621 0.6806 0.9953
0.3379 0.3194 0.0047
0.7787 0.8260 0.6165
0.2213 0.1740 0.3835
0.4303 0.4902 0.6493
0.5697 0.5098 0.3507
0.8653 0.4729 0.7966
0.1347 0.5271 0.2034
0.6086 0.2226 0.5602
0.3914 0.7774 0.4398
```

The value obtained for the volume is 574.3 Å³/cell. As for the symmetry: No. 12. For the energy of formation from the pure elements, the calculation gives -1.05 eV per formula unit. For the magnetization, the calculation gives 0.000 μB per atom. As for the total energy: -1.9711 eV per atom.